Material: Sm3Er3Pd4
Method: DFT, PBE
State: optimized geometry

For the formation energy from the elements, the calculation gives -0.71 eV per atom. The calculation puts the density of states at the Fermi level at 8.3 states/eV/f.u.

```
data_Sm3Er3Pd4
_chemical_formula_sum 'Sm6 Er6 Pd8'
_symmetry_space_group_name_H-M 'A m m 2'
_symmetry_Int_Tables_number 38
_cell_length_a 3.9968
_cell_length_b 11.1865
_cell_length_c 10.9663
_cell_angle_alpha 90.00
_cell_angle_beta 90.00
_cell_angle_gamma 90.00
loop_
_symmetry_equiv_pos_as_xyz
'x,y,z'
'-x,-y,z'
'-x,y,z'
'x,-y,z'
'x,y+1/2,z+1/2'
'-x,-y+1/2,z+1/2'
'-x,y+1/2,z+1/2'
'x,-y+1/2,z+1/2'
loop_
_atom_site_label
_atom_site_type_symbol
_atom_site_fract_x
_atom_site_fract_y
_atom_site_fract_z
Sm1 Sm 0.0000 0.0000 0.0000
Sm2 Sm 0.0000 0.1670 0.6644
Er1 Er 0.0000 0.0000 0.3339
Er2 Er 0.5000 0.2487 0.4148
Pd1 Pd 0.5000 0.0000 0.5279
Pd2 Pd 0.5000 0.0000 0.7964
Pd3 Pd 0.5000 0.1293 0.1716
```

Material: SmErPd2
Method: DFT, PBE
State: optimized geometry

For the formation energy from the elements, the calculation gives -0.73 eV per atom. The calculation puts the density of states at the Fermi level at 2.6 states/eV/f.u. The value obtained for the energy above the most stable polymorph in this dataset is 163.8 meV/atom.

```
data_SmErPd2
_chemical_formula_sum 'Sm3 Er3 Pd6'
_symmetry_space_group_name_H-M 'R -3 m'
_symmetry_Int_Tables_number 166
_symmetry_space_group_name_Hall '-R 3 2"'
_cell_length_a 4.1296
_cell_length_b 4.1296
_cell_length_c 19.8437
_cell_angle_alpha 90.00
_cell_angle_beta 90.00
_cell_angle_gamma 120.00
loop_
_atom_site_label
_atom_site_type_symbol
_atom_site_fract_x
_atom_site_fract_y
_atom_site_fract_z
Sm1 Sm 0.0000 0.0000 0.0000
Er1 Er 0.0000 0.0000 0.5000
Pd1 Pd 0.0000 0.0000 0.2457
```

Material: SmErPd2
Method: DFT, PBE
State: optimized geometry

For the formation energy from the elements, the calculation gives -0.85 eV per atom. The calculation puts the density of states at the Fermi level at 3.8 states/eV/f.u. The value obtained for the energy above the most stable polymorph in this dataset is 43.3 meV/atom.

```
data_SmErPd2
_chemical_formula_sum 'Sm4 Er4 Pd8'
_symmetry_space_group_name_H-M 'F m -3 m'
_symmetry_Int_Tables_number 225
_symmetry_space_group_name_Hall '-F 4 2 3'
_cell_length_a 7.0715
_cell_length_b 7.0715
_cell_length_c 7.0715
_cell_angle_alpha 90.00
_cell_angle_beta 90.00
_cell_angle_gamma 90.00
loop_
_atom_site_label
_atom_site_type_symbol
_atom_site_fract_x
_atom_site_fract_y
_atom_site_fract_z
Sm1 Sm 0.0000 0.0000 0.0000
Er1 Er 0.0000 0.0000 0.5000
Pd1 Pd 0.2500 0.2500 0.2500
```

Material: SmErPd2
Method: DFT, PBE
State: optimized geometry

For the formation energy from the elements, the calculation gives -0.85 eV per atom. The calculation puts the density of states at the Fermi level at 2.2 states/eV/f.u. The value obtained for the energy above the most stable polymorph in this dataset is 42.2 meV/atom.

```
data_SmErPd2
_chemical_formula_sum 'Sm1 Er1 Pd2'
_symmetry_space_group_name_H-M 'P 4/m m m'
_symmetry_Int_Tables_number 123
_symmetry_space_group_name_Hall '-P 4 2'
_cell_length_a 5.0478
_cell_length_b 5.0478
_cell_length_c 3.4509
_cell_angle_alpha 90.00
_cell_angle_beta 90.00
_cell_angle_gamma 90.00
loop_
_atom_site_label
_atom_site_type_symbol
_atom_site_fract_x
_atom_site_fract_y
_atom_site_fract_z
Sm1 Sm 0.0000 0.0000 0.0000
Er1 Er 0.5000 0.5000 0.0000
Pd1 Pd 0.0000 0.5000 0.5000
```

Material: SmEr3Pd4
Method: DFT, PBE
State: optimized geometry

For the formation energy from the elements, the calculation gives -0.89 eV per atom. The calculation puts the density of states at the Fermi level at 3.9 states/eV/f.u.

```
data_SmEr3Pd4
_chemical_formula_sum 'Sm1 Er3 Pd4'
_symmetry_space_group_name_H-M 'P 4/m m m'
_symmetry_Int_Tables_number 123
_symmetry_space_group_name_Hall '-P 4 2'
_cell_length_a 5.0012
_cell_length_b 5.0012
_cell_length_c 6.8738
_cell_angle_alpha 90.00
_cell_angle_beta 90.00
_cell_angle_gamma 90.00
loop_
_atom_site_label
_atom_site_type_symbol
_atom_site_fract_x
_atom_site_fract_y
_atom_site_fract_z
Sm1 Sm 0.0000 0.0000 0.0000
Er1 Er 0.0000 0.0000 0.5000
Er2 Er 0.5000 0.5000 0.0000
Er3 Er 0.5000 0.5000 0.5000
Pd1 Pd 0.0000 0.5000 0.2570
```

Material: SmEr2Pd2
Method: DFT, PBE
State: optimized geometry

For the formation energy from the elements, the calculation gives -0.57 eV per atom. The calculation puts the density of states at the Fermi level at 5.6 states/eV/f.u. The value obtained for the energy above the most stable polymorph in this dataset is 142.8 meV/atom.

```
data_SmEr2Pd2
_chemical_formula_sum 'Sm2 Er4 Pd4'
_symmetry_space_group_name_H-M 'C 1 2/m 1'
_symmetry_Int_Tables_number 12
_cell_length_a 6.5417
_cell_length_b 6.5424
_cell_length_c 6.7539
_cell_angle_alpha 90.00
_cell_angle_beta 118.26
_cell_angle_gamma 90.00
loop_
_symmetry_equiv_pos_as_xyz
'x,y,z'
'-x,-y,-z'
'-x,y,-z'
'x,-y,z'
'x+1/2,y+1/2,z'
'-x+1/2,-y+1/2,-z'
'-x+1/2,y+1/2,-z'
'x+1/2,-y+1/2,z'
loop_
_atom_site_label
_atom_site_type_symbol
_atom_site_fract_x
_atom_site_fract_y
_atom_site_fract_z
Sm1 Sm 0.0000 0.0000 0.0000
Er1 Er 0.0000 0.2502 0.5000
Pd1 Pd 0.1144 0.5000 0.2221
```

Material: SmEr2Pd2
Method: DFT, PBE
State: optimized geometry

For the formation energy from the elements, the calculation gives -0.71 eV per atom. The calculation puts the density of states at the Fermi level at 4.9 states/eV/f.u. The value obtained for the energy above the most stable polymorph in this dataset is 0.0 meV/atom.

```
data_SmEr2Pd2
_chemical_formula_sum 'Sm2 Er4 Pd4'
_symmetry_space_group_name_H-M 'P 4/m b m'
_symmetry_Int_Tables_number 127
_symmetry_space_group_name_Hall '-P 4 2ab'
_cell_length_a 7.8597
_cell_length_b 7.8597
_cell_length_c 3.8810
_cell_angle_alpha 90.00
_cell_angle_beta 90.00
_cell_angle_gamma 90.00
loop_
_atom_site_label
_atom_site_type_symbol
_atom_site_fract_x
_atom_site_fract_y
_atom_site_fract_z
Sm1 Sm 0.0000 0.0000 0.0000
Er1 Er 0.1629 0.3371 0.5000
Pd1 Pd 0.1311 0.6311 0.0000
```

Material: SmEr5Pd4
Method: DFT, PBE
State: optimized geometry

For the formation energy from the elements, the calculation gives -0.73 eV per atom. The calculation puts the density of states at the Fermi level at 9.3 states/eV/f.u.

```
data_SmEr5Pd4
_chemical_formula_sum 'Sm1 Er5 Pd4'
_symmetry_space_group_name_H-M 'P 4/m m m'
_symmetry_Int_Tables_number 123
_symmetry_space_group_name_Hall '-P 4 2'
_cell_length_a 3.4954
_cell_length_b 3.4954
_cell_length_c 19.0850
_cell_angle_alpha 90.00
_cell_angle_beta 90.00
_cell_angle_gamma 90.00
loop_
_atom_site_label
_atom_site_type_symbol
_atom_site_fract_x
_atom_site_fract_y
_atom_site_fract_z
Sm1 Sm 0.0000 0.0000 0.0000
Er1 Er 0.5000 0.5000 0.1388
Er2 Er 0.5000 0.5000 0.3179
Er3 Er 0.5000 0.5000 0.5000
Pd1 Pd 0.0000 0.0000 0.2263
Pd2 Pd 0.0000 0.0000 0.4083
```

Material: SmErPd14
Method: DFT, PBE
State: optimized geometry

For the formation energy from the elements, the calculation gives -0.40 eV per atom. The calculation puts the density of states at the Fermi level at 23.4 states/eV/f.u.

```
data_SmErPd14
_chemical_formula_sum 'Sm1 Er1 Pd14'
_symmetry_space_group_name_H-M 'P 4/m m m'
_symmetry_Int_Tables_number 123
_symmetry_space_group_name_Hall '-P 4 2'
_cell_length_a 5.7757
_cell_length_b 5.7757
_cell_length_c 7.9633
_cell_angle_alpha 90.00
_cell_angle_beta 90.00
_cell_angle_gamma 90.00
loop_
_atom_site_label
_atom_site_type_symbol
_atom_site_fract_x
_atom_site_fract_y
_atom_site_fract_z
Sm1 Sm 0.0000 0.0000 0.0000
Er1 Er 0.5000 0.5000 0.0000
Pd1 Pd 0.0000 0.0000 0.5000
Pd2 Pd 0.0000 0.5000 0.0000
Pd3 Pd 0.0000 0.5000 0.5000
Pd4 Pd 0.2519 0.2519 0.2595
Pd5 Pd 0.5000 0.5000 0.5000
```

Material: SmEr5Pd2
Method: DFT, PBE
State: optimized geometry

For the formation energy from the elements, the calculation gives -0.38 eV per atom. The calculation puts the density of states at the Fermi level at 8.5 states/eV/f.u.

```
data_SmEr5Pd2
_chemical_formula_sum 'Sm4 Er20 Pd8'
_symmetry_space_group_name_H-M 'C m c m'
_symmetry_Int_Tables_number 63
_symmetry_space_group_name_Hall '-C 2c 2'
_cell_length_a 3.8065
_cell_length_b 12.8294
_cell_length_c 17.8966
_cell_angle_alpha 90.00
_cell_angle_beta 90.00
_cell_angle_gamma 90.00
loop_
_atom_site_label
_atom_site_type_symbol
_atom_site_fract_x
_atom_site_fract_y
_atom_site_fract_z
Sm1 Sm 0.0000 0.1508 0.2500
Er1 Er 0.0000 0.1133 0.7500
Er2 Er 0.0000 0.1549 0.0431
Er3 Er 0.0000 0.4476 0.1013
Pd1 Pd 0.0000 0.2407 0.6260
```